A plane-wave DFT calculation with PBE-GGA was carried out for a relaxed structure of GaSbPd6.

Output
Total energy: -40.57 eV per formula unit
Energy relative to the elements, uncorrected: -0.283 eV/atom
Excess energy over the best structure of this formula in the dataset: 162 meV/atom
Magnetic moment: 0.000 Bohr magnetons per cell
DOS(E_F): 4.7 states/eV per cell

Lattice parameters (Å, degrees): 5.2337 5.2572 5.2607 75.76 76.53 76.24
Closest atoms and distances in Å follow each position.
Space group P-1 (No. 2)
Asymmetric unit:
Ga (0.0000, 0.0000, 0.0000) [1 per cell]  6 Pd 2.54-2.56
Sb (0.5000, 0.5000, 0.5000) [1 per cell]  6 Pd 2.68
Pd (0.0035, 0.5183, 0.2432) [2 per cell]  1 Ga 2.54, 2 Pd 2.62-2.65, 1 Sb 2.68
Pd (0.2430, 0.0034, 0.5208) [2 per cell]  1 Ga 2.54, 2 Pd 2.61-2.64, 1 Sb 2.68
Pd (0.4853, 0.7561, 0.9953) [2 per cell]  1 Ga 2.56, 2 Pd 2.62-2.65, 1 Sb 2.68

=====

A plane-wave DFT calculation with PBE-GGA was carried out for a relaxed structure of GaSbPd3.

Output
Total energy: -20.91 eV per formula unit
Energy relative to the elements, uncorrected: 0.364 eV/atom
Excess energy over the best structure of this formula in the dataset: 827 meV/atom
Magnetic moment: 0.000 Bohr magnetons per cell
DOS(E_F): 2.9 states/eV per cell

Lattice parameters (Å, degrees): 4.9789 4.9789 4.9789 90.00 90.00 90.00
Closest atoms and distances in Å follow each position.
Space group Pm-3m (No. 221)
Asymmetric unit:
Ga (0.0000, 0.0000, 0.0000) [1 per cell]  12 Pd 3.52
Sb (0.5000, 0.5000, 0.5000) [1 per cell]  6 Pd 2.49
Pd (0.0000, 0.5000, 0.5000) [3 per cell]  2 Sb 2.49

=====

A plane-wave DFT calculation with PBE-GGA was carried out for a relaxed structure of Ga2SbPd2.

Output
Total energy: -21.89 eV per formula unit
Energy relative to the elements, uncorrected: -0.265 eV/atom
Excess energy over the best structure of this formula in the dataset: 115 meV/atom
Magnetic moment: 0.000 Bohr magnetons per cell
DOS(E_F): 3.6 states/eV per cell

Lattice parameters (Å, degrees): 4.1932 4.1932 10.7016 90.00 90.00 90.00
Closest atoms and distances in Å follow each position.
Space group I4/mmm (No. 139)
Asymmetric unit:
Ga (0.0000, 0.0000, 0.1160) [4 per cell]  1 Ga 2.48, 4 Pd 2.54
Sb (0.0000, 0.0000, 0.5000) [2 per cell]  8 Ga 3.21, 8 Pd 3.40
Pd (0.0000, 0.5000, 0.2500) [4 per cell]  4 Ga 2.54

=====

A plane-wave DFT calculation with PBE-GGA was carried out for a relaxed structure of GaSbPd2.

Output
Total energy: -18.62 eV per formula unit
Energy relative to the elements, uncorrected: -0.272 eV/atom
Excess energy over the best structure of this formula in the dataset: 244 meV/atom
Magnetic moment: 0.000 Bohr magnetons per cell
DOS(E_F): 6.2 states/eV per cell

Lattice parameters (Å, degrees): 4.2241 4.2241 17.3388 90.00 90.00 90.00
Closest atoms and distances in Å follow each position.
Space group I-42d (No. 122)
Asymmetric unit:
Ga (0.0000, 0.0000, 0.0000) [4 per cell]  4 Pd 2.62
Sb (0.0000, 0.0000, 0.5000) [4 per cell]  4 Pd 2.65
Pd (0.2411, 0.2500, 0.1250) [8 per cell]  2 Ga 2.62, 2 Sb 2.65